Record 1
# MnCuSb2I GGA-PBE optimized geometry
# Uncorrected formation energy = 1.233 eV/atom
# Energy above the lowest structure with this stoichiometry = 2.77 eV per formula unit
data_MnCuSb2I
_chemical_formula_sum 'Mn1 Cu1 Sb2 I1'
_cell_length_a 5.0147
_cell_length_b 5.0147
_cell_length_c 5.4014
_cell_angle_alpha 90.00
_cell_angle_beta 90.00
_cell_angle_gamma 90.00
_symmetry_space_group_name_H-M 'P 4/m m m'
_symmetry_Int_Tables_number 123
_symmetry_space_group_name_Hall '-P 4 2'
loop_
_atom_site_label
_atom_site_type_symbol
_atom_site_fract_x
_atom_site_fract_y
_atom_site_fract_z
_atom_site_occupancy
Mn1 Mn 0.0000 0.0000 0.0000 1
Cu1 Cu 0.5000 0.5000 0.5000 1
Sb1 Sb 0.0000 0.5000 0.5000 1
I1 I 0.5000 0.5000 0.0000 1

---

Record 2
# PmSm2HoEr5 GGA-PBE optimized geometry
# Energy relative to the elements = 0.2738 eV per atom
data_PmSm2HoEr5
_chemical_formula_sum 'Pm4 Sm8 Ho4 Er20'
_cell_length_a 8.7061
_cell_length_b 8.7061
_cell_length_c 15.2265
_cell_angle_alpha 90.00
_cell_angle_beta 90.00
_cell_angle_gamma 90.00
_symmetry_space_group_name_H-M 'I 4/m c m'
_symmetry_Int_Tables_number 140
_symmetry_space_group_name_Hall '-I 4 2c'
loop_
_atom_site_label
_atom_site_type_symbol
_atom_site_fract_x
_atom_site_fract_y
_atom_site_fract_z
_atom_site_occupancy
Pm1 Pm 0.0000 0.0000 0.2500 1
Sm1 Sm 0.1159 0.3841 0.0000 1
Ho1 Ho 0.0000 0.5000 0.2500 1
Er1 Er 0.0000 0.0000 0.0000 1
Er2 Er 0.2091 0.2909 0.3633 1

---

Record 3
# CaPb2O4 GGA-PBE optimized geometry
# Uncorrected formation energy = -1.399 eV/atom
data_CaPb2O4
_chemical_formula_sum 'Ca4 Pb8 O16'
_cell_length_a 8.0890
_cell_length_b 8.0890
_cell_length_c 6.8550
_cell_angle_alpha 90.00
_cell_angle_beta 90.00
_cell_angle_gamma 90.00
_symmetry_space_group_name_H-M 'I -4 2 d'
_symmetry_Int_Tables_number 122
_symmetry_space_group_name_Hall 'I -4 2bw'
loop_
_atom_site_label
_atom_site_type_symbol
_atom_site_fract_x
_atom_site_fract_y
_atom_site_fract_z
_atom_site_occupancy
Ca1 Ca 0.0000 0.0000 0.0000 1
Pb1 Pb 0.1837 0.2500 0.6250 1
O1 O 0.0372 0.2271 0.3426 1

---

Record 4
# Th4GaRu2 GGA-PBE optimized geometry
# Energy relative to the elements = -0.4401 eV per atom
data_Th4GaRu2
_chemical_formula_sum 'Th8 Ga2 Ru4'
_cell_length_a 7.0250
_cell_length_b 7.0303
_cell_length_c 8.6518
_cell_angle_alpha 107.46
_cell_angle_beta 107.58
_cell_angle_gamma 104.94
_symmetry_space_group_name_H-M 'P 1'
_symmetry_Int_Tables_number 1
_symmetry_space_group_name_Hall 'P 1'
loop_
_atom_site_label
_atom_site_type_symbol
_atom_site_fract_x
_atom_site_fract_y
_atom_site_fract_z
_atom_site_occupancy
Th1 Th 0.0000 0.0000 0.0000 1
Th2 Th 0.0419 0.7160 0.5875 1
Th3 Th 0.3215 0.1462 0.4831 1
Th4 Th 0.3928 0.5726 0.2974 1
Th5 Th 0.4865 0.6265 0.8859 1
Th6 Th 0.5447 0.1859 0.0040 1
Th7 Th 0.7815 0.1009 0.4032 1
Th8 Th 0.9391 0.4395 0.8810 1
Ga1 Ga 0.6077 0.9193 0.6705 1
Ga2 Ga 0.8914 0.6941 0.2156 1
Ru1 Ru 0.1669 0.2033 0.7664 1
Ru2 Ru 0.3430 0.8801 0.1219 1
Ru3 Ru 0.6797 0.5448 0.6272 1
Ru4 Ru 0.9938 0.3564 0.2574 1

---

Record 5
# V2BMo2 GGA-PBE optimized geometry
# Energy above the lowest structure with this stoichiometry = 3.60 eV per formula unit
# Energy relative to the elements = 1.0487 eV per atom
data_V2BMo2
_chemical_formula_sum 'V4 B2 Mo4'
_cell_length_a 3.4394
_cell_length_b 3.4394
_cell_length_c 12.7277
_cell_angle_alpha 90.00
_cell_angle_beta 90.00
_cell_angle_gamma 90.00
_symmetry_space_group_name_H-M 'I 4/m m m'
_symmetry_Int_Tables_number 139
_symmetry_space_group_name_Hall '-I 4 2'
loop_
_atom_site_label
_atom_site_type_symbol
_atom_site_fract_x
_atom_site_fract_y
_atom_site_fract_z
_atom_site_occupancy
V1 V 0.0000 0.0000 0.0783 1
B1 B 0.0000 0.0000 0.5000 1
Mo1 Mo 0.0000 0.5000 0.2500 1

---

Record 6
# SiAuCl2 GGA-PBE optimized geometry
# Uncorrected formation energy = -0.072 eV/atom
# Energy above the lowest structure with this stoichiometry = 1.30 eV per formula unit
data_SiAuCl2
_chemical_formula_sum 'Si2 Au2 Cl4'
_cell_length_a 3.3348
_cell_length_b 6.8620
_cell_length_c 8.8743
_cell_angle_alpha 90.00
_cell_angle_beta 90.00
_cell_angle_gamma 90.00
_symmetry_space_group_name_H-M 'I m m 2'
_symmetry_Int_Tables_number 44
_symmetry_space_group_name_Hall 'I 2 -2'
loop_
_atom_site_label
_atom_site_type_symbol
_atom_site_fract_x
_atom_site_fract_y
_atom_site_fract_z
_atom_site_occupancy
Si1 Si 0.0000 0.0000 0.0000 1
Au1 Au 0.0000 0.5000 0.3075 1
Cl1 Cl 0.0000 0.0000 0.5814 1
Cl2 Cl 0.0000 0.5000 0.7095 1

---

Record 7
# Tb3DyPu3Te8 GGA-PBE optimized geometry
# Uncorrected formation energy = -1.280 eV/atom
data_Tb3DyPu3Te8
_chemical_formula_sum 'Tb9 Dy3 Pu9 Te24'
_cell_length_a 8.7697
_cell_length_b 8.7697
_cell_length_c 21.5797
_cell_angle_alpha 90.00
_cell_angle_beta 90.00
_cell_angle_gamma 120.00
_symmetry_space_group_name_H-M 'R -3 m'
_symmetry_Int_Tables_number 166
_symmetry_space_group_name_Hall '-R 3 2"'
loop_
_atom_site_label
_atom_site_type_symbol
_atom_site_fract_x
_atom_site_fract_y
_atom_site_fract_z
_atom_site_occupancy
Tb1 Tb 0.0000 0.5000 0.0000 1
Dy1 Dy 0.0000 0.0000 0.0000 1
Pu1 Pu 0.0000 0.5000 0.5000 1
Te1 Te 0.0000 0.0000 0.2509 1
Te2 Te 0.0053 0.5026 0.2504 1

---

Record 8
# Ca4DyIn5 GGA-PBE optimized geometry
# Energy relative to the elements = -0.4663 eV per atom
data_Ca4DyIn5
_chemical_formula_sum 'Ca4 Dy1 In5'
_cell_length_a 3.8491
_cell_length_b 3.8491
_cell_length_c 19.0145
_cell_angle_alpha 90.00
_cell_angle_beta 90.00
_cell_angle_gamma 90.00
_symmetry_space_group_name_H-M 'P 4/m m m'
_symmetry_Int_Tables_number 123
_symmetry_space_group_name_Hall '-P 4 2'
loop_
_atom_site_label
_atom_site_type_symbol
_atom_site_fract_x
_atom_site_fract_y
_atom_site_fract_z
_atom_site_occupancy
Ca1 Ca 0.0000 0.0000 0.1010 1
Ca2 Ca 0.0000 0.0000 0.3013 1
Dy1 Dy 0.0000 0.0000 0.5000 1
In1 In 0.5000 0.5000 0.0000 1
In2 In 0.5000 0.5000 0.2011 1
In3 In 0.5000 0.5000 0.4044 1

---

Record 9
# PmNd12Tm6 GGA-PBE optimized geometry
# Energy above the lowest structure with this stoichiometry = 0.00 eV per formula unit
# Energy relative to the elements = 0.0174 eV per atom
data_PmNd12Tm6
_chemical_formula_sum 'Pm3 Nd36 Tm18'
_cell_length_a 15.7631
_cell_length_b 15.7631
_cell_length_c 8.8714
_cell_angle_alpha 90.00
_cell_angle_beta 90.00
_cell_angle_gamma 120.00
_symmetry_space_group_name_H-M 'R -3'
_symmetry_Int_Tables_number 148
_symmetry_space_group_name_Hall '-R 3'
loop_
_atom_site_label
_atom_site_type_symbol
_atom_site_fract_x
_atom_site_fract_y
_atom_site_fract_z
_atom_site_occupancy
Pm1 Pm 0.0000 0.0000 0.0000 1
Nd1 Nd 0.0356 0.7565 0.3364 1
Nd2 Nd 0.0703 0.5087 0.6665 1
Tm1 Tm 0.0168 0.8796 0.6644 1

---

Record 10
# AlTeAu4 GGA-PBE optimized geometry
# Uncorrected formation energy = 0.110 eV/atom
data_AlTeAu4
_chemical_formula_sum 'Al4 Te4 Au16'
_cell_length_a 7.9302
_cell_length_b 7.9302
_cell_length_c 7.9302
_cell_angle_alpha 90.00
_cell_angle_beta 90.00
_cell_angle_gamma 90.00
_symmetry_space_group_name_H-M 'F -4 3 m'
_symmetry_Int_Tables_number 216
_symmetry_space_group_name_Hall 'F -4 2 3'
loop_
_atom_site_label
_atom_site_type_symbol
_atom_site_fract_x
_atom_site_fract_y
_atom_site_fract_z
_atom_site_occupancy
Al1 Al 0.0000 0.0000 0.0000 1
Te1 Te 0.2500 0.2500 0.2500 1
Au1 Au 0.1253 0.1253 0.6253 1

---

Record 11
# Mg2ZnCl6 GGA-PBE optimized geometry
# Uncorrected formation energy = -1.595 eV/atom
data_Mg2ZnCl6
_chemical_formula_sum 'Mg2 Zn1 Cl6'
_cell_length_a 6.3118
_cell_length_b 6.3118
_cell_length_c 6.5338
_cell_angle_alpha 90.00
_cell_angle_beta 90.00
_cell_angle_gamma 120.00
_symmetry_space_group_name_H-M 'P -3 1 m'
_symmetry_Int_Tables_number 162
_symmetry_space_group_name_Hall '-P 3 2'
loop_
_atom_site_label
_atom_site_type_symbol
_atom_site_fract_x
_atom_site_fract_y
_atom_site_fract_z
_atom_site_occupancy
Mg1 Mg 0.3333 0.6667 0.0000 1
Zn1 Zn 0.0000 0.0000 0.0000 1
Cl1 Cl 0.0000 0.3300 0.7894 1

---

Record 12
# LaPm5Al4 GGA-PBE optimized geometry
# Energy relative to the elements = -0.2829 eV per atom
data_LaPm5Al4
_chemical_formula_sum 'La1 Pm5 Al4'
_cell_length_a 3.6663
_cell_length_b 3.6663
_cell_length_c 20.4320
_cell_angle_alpha 90.00
_cell_angle_beta 90.00
_cell_angle_gamma 90.00
_symmetry_space_group_name_H-M 'P 4/m m m'
_symmetry_Int_Tables_number 123
_symmetry_space_group_name_Hall '-P 4 2'
loop_
_atom_site_label
_atom_site_type_symbol
_atom_site_fract_x
_atom_site_fract_y
_atom_site_fract_z
_atom_site_occupancy
La1 La 0.0000 0.0000 0.0000 1
Pm1 Pm 0.5000 0.5000 0.1328 1
Pm2 Pm 0.5000 0.5000 0.3166 1
Pm3 Pm 0.5000 0.5000 0.5000 1
Al1 Al 0.0000 0.0000 0.2229 1
Al2 Al 0.0000 0.0000 0.4081 1